This record from Alexandria describes an optimized crystal structure of CuRhBr2. The functional is GGA-PBE.

crystal system = tetragonal
DOS at the Fermi energy = 3.3 states/eV/cell
energy above the most stable polymorph in this dataset = 251 meV per atom

Unit cell a=3.443 b=3.443 c=7.202 alpha=90.00 beta=90.00 gamma=90.00
Space group P4mm (No. 99)
Asymmetric unit:
Cu 0.000 0.000 0.000 (multiplicity 1)
Rh 0.500 0.500 0.211 (multiplicity 1)
Br 0.000 0.000 0.343 (multiplicity 1)
Br 0.500 0.500 0.820 (multiplicity 1)



This record from Alexandria describes an optimized crystal structure of Li2TiWN4. The functional is GGA-PBE.

total DFT energy (no corrections) = -8.10 eV per atom
crystal system = monoclinic
DOS at the Fermi energy = 0.4 states/eV/cell

Unit cell a=5.207 b=3.006 c=5.342 alpha=90.00 beta=108.91 gamma=90.00
Space group P2/m (No. 10)
Asymmetric unit:
Li 0.000 0.000 0.000 (multiplicity 1)
Li 0.500 0.500 0.000 (multiplicity 1)
Ti 0.000 0.500 0.500 (multiplicity 1)
W 0.500 0.000 0.500 (multiplicity 1)
N 0.245 0.000 0.715 (multiplicity 2)
N 0.266 0.500 0.278 (multiplicity 2)



This record from Alexandria describes an optimized crystal structure of NpGa2PbBr8. The functional is GGA-PBE.

total DFT energy (no corrections) = -3.92 eV per atom
crystal system = triclinic
DOS at the Fermi energy = 3.4 states/eV/cell

Unit cell a=6.974 b=7.332 c=8.880 alpha=89.99 beta=89.98 gamma=87.73
Space group P-1 (No. 2)
Asymmetric unit:
Np 0.000 0.000 0.000 (multiplicity 1)
Ga 0.499 0.501 0.737 (multiplicity 2)
Pb 0.000 0.000 0.500 (multiplicity 1)
Br 0.224 0.150 0.230 (multiplicity 2)
Br 0.224 0.150 0.770 (multiplicity 2)
Br 0.234 0.692 0.000 (multiplicity 2)
Br 0.269 0.666 0.500 (multiplicity 2)



This record from Alexandria describes an optimized crystal structure of BeNiTeN2. The functional is GGA-PBE.

crystal system = tetragonal
DOS at the Fermi energy = 4.8 states/eV/cell
energy above the most stable polymorph in this dataset = 55 meV per atom

Unit cell a=3.646 b=3.646 c=5.561 alpha=90.00 beta=90.00 gamma=90.00
Space group P4/mmm (No. 123)
Asymmetric unit:
Be 0.000 0.000 0.000 (multiplicity 1)
Ni 0.500 0.500 0.500 (multiplicity 1)
Te 0.500 0.500 0.000 (multiplicity 1)
N 0.000 0.500 0.500 (multiplicity 2)



This record from Alexandria describes an optimized crystal structure of Mg2ZrSnAu. The functional is GGA-PBE.

energy of formation = 1.011 eV/atom
crystal system = tetragonal
DOS at the Fermi energy = 5.4 states/eV/cell
energy above the most stable polymorph in this dataset = 166 meV per atom

Unit cell a=5.604 b=5.604 c=5.464 alpha=90.00 beta=90.00 gamma=90.00
Space group P4/mmm (No. 123)
Asymmetric unit:
Mg 0.000 0.500 0.000 (multiplicity 2)
Zr 0.000 0.000 0.000 (multiplicity 1)
Sn 0.000 0.000 0.500 (multiplicity 1)
Au 0.500 0.500 0.500 (multiplicity 1)



This record from Alexandria describes an optimized crystal structure of Ba3N. The functional is GGA-PBE.

crystal system = orthorhombic
DOS at the Fermi energy = 7.9 states/eV/cell
energy above the most stable polymorph in this dataset = 97 meV per atom

Unit cell a=3.756 b=12.526 c=7.378 alpha=90.00 beta=90.00 gamma=90.00
Space group Imm2 (No. 44)
Asymmetric unit:
Ba 0.000 0.000 0.000 (multiplicity 2)
Ba 0.000 0.141 0.584 (multiplicity 4)
N 0.000 0.500 0.226 (multiplicity 2)